Record 1
# Tm2MgCd6, optimized geometry, DFT PBE
data_Tm2MgCd6
_symmetry_space_group_name_H-M 'P 1'
_symmetry_Int_Tables_number 1
_cell_length_a 3.294
_cell_length_b 8.607
_cell_length_c 8.607
_cell_angle_alpha 120.00
_cell_angle_beta 90.00
_cell_angle_gamma 90.00
loop_
_symmetry_equiv_pos_as_xyz
'x,y,z'
loop_
_atom_site_label
_atom_site_fract_x
_atom_site_fract_y
_atom_site_fract_z
Tm1 0.000 0.333 0.667
Tm2 0.000 0.667 0.333
Mg1 0.000 0.000 0.000
Cd1 0.500 0.331 0.331
Cd2 0.500 0.669 0.669
Cd3 0.500 0.000 0.669
Cd4 0.500 0.669 0.000
Cd5 0.500 0.331 0.000
Cd6 0.500 0.000 0.331
# **Final energy**: -17.9 eV per cell
# **Space group**: P6/mmm
# **Relative energy among the computed polymorphs**: 0 meV/atom
# **Formation enthalpy at 0 K**: -213 meV/atom


Record 2
# Y3ZnRh8, optimized geometry, DFT PBE
data_Y3ZnRh8
_symmetry_space_group_name_H-M 'P 1'
_symmetry_Int_Tables_number 1
_cell_length_a 5.287
_cell_length_b 5.287
_cell_length_c 9.180
_cell_angle_alpha 73.26
_cell_angle_beta 73.26
_cell_angle_gamma 60.00
loop_
_symmetry_equiv_pos_as_xyz
'x,y,z'
loop_
_atom_site_label
_atom_site_fract_x
_atom_site_fract_y
_atom_site_fract_z
Y1 0.624 0.624 0.128
Y2 0.007 0.007 0.979
Y3 0.495 0.495 0.516
Zn1 0.131 0.131 0.608
Rh1 0.563 0.062 0.812
Rh2 0.061 0.560 0.317
Rh3 0.563 0.563 0.812
Rh4 0.061 0.061 0.317
Rh5 0.811 0.811 0.566
Rh6 0.312 0.312 0.065
Rh7 0.062 0.563 0.812
Rh8 0.560 0.061 0.317
# **Final energy**: -86.3 eV per cell
# **Space group**: R3m
# **Formation enthalpy at 0 K**: -570 meV/atom